# 1
# Au2Se | the Alexandria database | PBE | relaxed
# - M_tot (μB/f.u.) = 0.0
# - formation energy from raw total energies (eV per formula unit) = 0.58
data_Au2Se
_symmetry_space_group_name_H-M 'P n n m'
_symmetry_Int_Tables_number 58
_cell_length_a 4.469
_cell_length_b 8.392
_cell_length_c 3.599
_cell_angle_alpha 90.00
_cell_angle_beta 90.00
_cell_angle_gamma 90.00
loop_
_symmetry_equiv_pos_as_xyz
'x,y,z'
'-x,-y,-z'
'-x,-y,z'
'x,y,-z'
'x+1/2,-y+1/2,-z+1/2'
'-x+1/2,y+1/2,z+1/2'
'-x+1/2,y+1/2,-z+1/2'
'x+1/2,-y+1/2,z+1/2'
loop_
_atom_site_label
_atom_site_type_symbol
_atom_site_fract_x
_atom_site_fract_y
_atom_site_fract_z
Au1 Au 0.199 0.221 0.000
Se1 Se 0.000 0.000 0.500

***

# 2
# AuSe | the Alexandria database | PBE | relaxed
# - M_tot (μB/f.u.) = 0.0
# - formation energy from raw total energies (eV per formula unit) = 0.39
data_AuSe
_symmetry_space_group_name_H-M 'C 1 m 1'
_symmetry_Int_Tables_number 8
_cell_length_a 10.825
_cell_length_b 2.965
_cell_length_c 8.084
_cell_angle_alpha 90.00
_cell_angle_beta 94.07
_cell_angle_gamma 90.00
loop_
_symmetry_equiv_pos_as_xyz
'x,y,z'
'x,-y,z'
'x+1/2,y+1/2,z'
'x+1/2,-y+1/2,z'
loop_
_atom_site_label
_atom_site_type_symbol
_atom_site_fract_x
_atom_site_fract_y
_atom_site_fract_z
Au1 Au 0.000 0.000 0.000
Au2 Au 0.001 0.500 0.693
Au3 Au 0.262 0.000 0.998
Se1 Se 0.249 0.000 0.687
Se2 Se 0.265 0.500 0.286
Se3 Se 0.486 0.500 0.331